Here is a geometry-optimized Ti11Ni4Pd9 structure from the Alexandria database. Energies are from PBE.

The structure in POSCAR format:
```
Ti11Ni4Pd9
1.0
2.8837 0.0000 0.0000
0.0000 10.7276 -4.4812
0.0000 0.0951 11.6256
Pd Ni Ti
9 4 11
Direct
0.5000 0.8455 0.3689
0.5000 0.9279 0.7812
0.5000 0.2188 0.0721
0.5000 0.0721 0.2188
0.5000 0.3689 0.8455
0.5000 0.6311 0.1545
0.5000 0.7812 0.9279
0.5000 0.1545 0.6311
0.5000 0.5000 0.5000
0.5000 0.5489 0.7474
0.5000 0.4511 0.2526
0.5000 0.7474 0.5489
0.5000 0.2526 0.4511
0.0000 0.5881 0.9353
0.0000 0.6326 0.3674
0.0000 0.6989 0.6989
0.0000 0.1585 0.8415
0.0000 0.0000 0.0000
0.0000 0.4119 0.0647
0.0000 0.8415 0.1585
0.0000 0.0647 0.4119
0.0000 0.3011 0.3011
0.0000 0.3674 0.6326
0.0000 0.9353 0.5881
```

Electronic total energy: -7.034 eV/atom
Space group: No. 65
Density: 7.91 g/cm³